Entry 1:
The following is a PBE calculation of crystalline ZrAgMo2 at its relaxed geometry, from Alexandria via LeMat-Bulk.

Cell: 2.751 2.751 9.342 Å, 90.00 90.00 90.00°
Fractional positions:
1 Ag 0.500 0.500 0.762
2 Mo 0.500 0.500 0.241
3 Mo 0.000 0.000 0.000
4 Zr 0.000 0.000 0.497

Crystal system   tetragonal
Distance to the lowest polymorph of the same formula   174.0 meV per atom
Formation energy from the elements   0.304 eV/atom



Entry 2:
The following is a PBE calculation of crystalline ZrAg2Mo at its relaxed geometry, from Alexandria via LeMat-Bulk.

Cell: 4.722 4.722 4.722 Å, 60.00 60.00 60.00°
Fractional positions:
1 Ag 0.750 0.750 0.750
2 Ag 0.000 0.000 0.000
3 Mo 0.500 0.500 0.500
4 Zr 0.250 0.250 0.250

Crystal system   cubic
Distance to the lowest polymorph of the same formula   288.9 meV per atom
Formation energy from the elements   0.464 eV/atom



Calculated values (eV per atom) of total energy for the records, taken in order: -7.961 -5.806.